(1)
This record from OQMD describes an optimized crystal structure of LiZrTlSe3. The functional is PBE.

Structure (extended XYZ):
```
24
Lattice="14.595 0.000 0.000 0.000 3.965 0.000 0.000 0.000 10.743" Properties=species:S:1:pos:R:3 pbc="T T T"
Tl 10.587 2.973 5.565
Tl 4.008 0.991 5.178
Tl 11.305 0.991 0.194
Tl 3.290 2.973 10.549
Se 1.395 2.973 4.626
Se 13.376 2.973 9.339
Se 5.903 0.991 9.997
Se 5.351 2.973 2.506
Se 1.219 0.991 1.404
Se 1.947 0.991 7.878
Se 12.648 2.973 2.865
Se 8.516 0.991 3.968
Se 13.200 0.991 6.117
Se 6.079 2.973 6.775
Se 9.245 0.991 8.237
Se 8.693 2.973 0.746
Li 7.561 0.991 6.353
Li 7.034 2.973 4.390
Li 14.331 2.973 0.982
Li 0.264 0.991 9.761
Zr 0.232 2.973 7.134
Zr 7.065 0.991 1.763
Zr 7.530 2.973 8.980
Zr 14.363 0.991 3.609
```

(2)
This record from OQMD describes an optimized crystal structure of Li2ZrTlSe4. The functional is PBE.

Structure (extended XYZ):
```
8
Lattice="-3.038 3.038 6.216 3.038 -3.038 6.216 3.038 3.038 -6.216" Properties=species:S:1:pos:R:3 pbc="T T T"
Se 1.340 1.397 4.536
Se 1.397 -1.340 7.896
Se 1.699 1.642 -1.680
Se 1.642 4.378 1.680
Zr 0.000 3.039 3.108
Li 0.000 0.000 6.216
Li 3.039 0.000 3.108
Tl 0.000 0.000 0.000
```

(3)
This record from OQMD describes an optimized crystal structure of LiZrTlSe3. The functional is PBE.

Structure (extended XYZ):
```
12
Lattice="-2.846 -2.033 -6.613 0.233 -0.791 7.436 -7.520 7.249 1.007" Properties=species:S:1:pos:R:3 pbc="T T T"
Tl -3.993 0.075 -3.019
Tl -6.139 4.350 4.848
Se -3.596 2.364 6.106
Se -3.006 0.473 1.485
Se -7.126 3.952 0.345
Se -9.650 5.063 -3.860
Se -6.536 2.061 -4.277
Se -0.482 -0.638 5.689
Zr -5.066 2.212 0.915
Zr -1.306 -1.412 0.411
Li -1.787 0.965 7.050
Li -8.346 3.460 -5.220
```

(4)
This record from OQMD describes an optimized crystal structure of LiZrTlSe3. The functional is PBE.

Structure (extended XYZ):
```
12
Lattice="8.141 0.000 0.000 0.000 3.964 0.000 -3.409 0.000 9.622" Properties=species:S:1:pos:R:3 pbc="T T T"
Tl -0.440 2.973 6.636
Tl 5.172 0.991 2.987
Se 2.842 2.973 1.421
Se -2.491 0.991 8.354
Se 7.224 2.973 1.268
Se 4.130 2.973 5.498
Se 0.602 0.991 4.125
Se 1.891 0.991 8.201
Zr 3.726 2.973 8.125
Zr 1.006 0.991 1.497
Li 2.126 2.973 3.844
Li 2.607 0.991 5.778
```

Computed values of size of the total moment (unit: μB/f.u.) for the preceding records, in sequence: 0.01 0.00 0.01 0.00.
Computed values of DFT total energy (unit: eV per atom) for the preceding records, in sequence: -4.968 -4.523 -4.965 -4.960.